Model w:
VASP calculation (PBEsol) on an optimized crystal structure of KW2Au.

a = 2.6535 Å, b = 5.0973 Å, c = 5.5674 Å
α = 90.00°, β = 90.00°, γ = 90.00°
Space group Pmmm (No. 47)
One atom of each set of equivalent atoms:
K 0.0000 0.0000 0.0000 [1 per cell]
W 0.0000 0.5000 0.5000 [1 per cell]
W 0.5000 0.0000 0.5000 [1 per cell]
Au 0.5000 0.5000 0.0000 [1 per cell]

Properties
V: 18.8 Å³/atom

Model x:
VASP calculation (PBEsol) on an optimized crystal structure of KW2Au.

a = 2.7196 Å, b = 2.7196 Å, c = 10.2537 Å
α = 90.00°, β = 90.00°, γ = 90.00°
Space group P4mm (No. 99)
One atom of each set of equivalent atoms:
K 0.0000 0.0000 0.0000 [1 per cell]
W 0.0000 0.0000 0.5191 [1 per cell]
W 0.5000 0.5000 0.3049 [1 per cell]
Au 0.5000 0.5000 0.7263 [1 per cell]

Properties
V: 19.0 Å³/atom

Most stable = model x

Model w:
VASP calculation (PBEsol) on an optimized crystal structure of KZn3Au.

a = 5.8620 Å, b = 5.8620 Å, c = 5.8620 Å
α = 90.00°, β = 90.00°, γ = 90.00°
Space group Pm-3m (No. 221)
One atom of each set of equivalent atoms:
K 0.0000 0.0000 0.0000 [1 per cell]
Zn 0.0000 0.0000 0.5000 [3 per cell]
Au 0.5000 0.5000 0.5000 [1 per cell]

Properties
V: 40.3 Å³/atom

Model x:
VASP calculation (PBEsol) on an optimized crystal structure of KZn3Au.

a = 4.9186 Å, b = 4.9186 Å, c = 4.9186 Å
α = 90.00°, β = 90.00°, γ = 90.00°
Space group Pm-3m (No. 221)
One atom of each set of equivalent atoms:
K 0.0000 0.0000 0.0000 [1 per cell]
Zn 0.0000 0.5000 0.5000 [3 per cell]
Au 0.5000 0.5000 0.5000 [1 per cell]

Properties
V: 23.8 Å³/atom

Most stable = model x